DFT (PBE-GGA) results for an optimized crystal structure of AsOs2Pt.

Summary:
total DFT energy (no corrections): -31.8 eV for the cell shown
formation energy from the elements: 7.968 kcal/mol of atoms

Structure (POSCAR):
```
AsOs2Pt
1.0
-0.577 3.900 -0.305
-2.889 -0.466 -0.501
-2.477 0.010 4.806
Os As Pt
2 1 1
direct
0.000 0.878 0.992 Os
0.000 0.622 0.508 Os
0.500 0.750 0.750 As
0.500 0.250 0.250 Pt
```